BeSi2SbRh PBE optimized geometry; space group = No. 123; formation energy without anion corrections = 303.0 meV/atom; electronic total energy = -4.906 eV per atom
1.0
4.6656 0.0000 0.0000
0.0000 4.3053 0.0000
0.0000 0.0000 4.6656
Si Sb Be Rh
2 1 1 1
Cartesian
2.3328 0.0000 0.0000
0.0000 0.0000 2.3328
2.3328 2.1527 2.3328
0.0000 2.1527 0.0000
0.0000 0.0000 0.0000

=====

TaBeSbRh2 PBE optimized geometry; space group = No. 123; formation energy without anion corrections = 931.6 meV/atom; electronic total energy = -5.949 eV per atom
1.0
4.7545 0.0000 0.0000
0.0000 4.5471 0.0000
0.0000 0.0000 4.7545
Be Sb Rh Ta
1 1 2 1
Cartesian
0.0000 2.2736 0.0000
2.3773 2.2736 2.3773
2.3773 0.0000 0.0000
0.0000 0.0000 2.3773
0.0000 0.0000 0.0000

=====

Th2BeSbRh6 PBE optimized geometry; space group = No. 123; formation energy without anion corrections = -323.6 meV/atom; electronic total energy = -7.003 eV per atom
1.0
4.6392 0.0000 0.0000
0.0000 4.6392 0.0000
0.0000 0.0000 8.9970
Th Rh Be Sb
2 6 1 1
Cartesian
0.0000 0.0000 2.4366
0.0000 0.0000 6.5604
2.3196 0.0000 4.4985
2.3196 2.3196 2.4590
2.3196 2.3196 6.5380
0.0000 2.3196 0.0000
2.3196 0.0000 0.0000
0.0000 2.3196 4.4985
2.3196 2.3196 4.4985
2.3196 2.3196 0.0000

=====

Th3Be2SbRh9 PBE optimized geometry; space group = No. 164; formation energy without anion corrections = -625.9 meV/atom; electronic total energy = -7.292 eV per atom
1.0
6.5461 0.0000 0.0000
-3.2730 5.6691 0.0000
0.0000 0.0000 7.2007
Rh Th Sb Be
9 3 1 2
Cartesian
3.2730 3.5218 4.8286
1.4134 4.5954 2.3721
1.8596 1.0736 4.8286
3.2730 0.0000 0.0000
1.6365 2.8345 0.0000
4.6865 1.0736 4.8286
0.0000 2.1473 2.3721
-1.6365 2.8345 0.0000
-1.4134 4.5954 2.3721
0.0000 3.7794 4.8635
0.0000 0.0000 0.0000
3.2730 1.8897 2.3372
0.0000 0.0000 3.6003
0.0000 3.7794 0.9312
3.2730 1.8897 6.2695

=====

ZrBeSbRh2 PBE optimized geometry; space group = No. 123; formation energy without anion corrections = 1164.5 meV/atom; electronic total energy = -5.055 eV per atom
1.0
4.8073 0.0000 0.0000
0.0000 5.2706 0.0000
0.0000 0.0000 4.8073
Rh Zr Be Sb
2 1 1 1
Cartesian
2.4036 0.0000 0.0000
0.0000 0.0000 2.4036
0.0000 2.6353 0.0000
2.4036 2.6353 2.4036
0.0000 0.0000 0.0000

=====

ScBe2Rh PBE optimized geometry; calculated formation energy = -0.4216 eV/atom; space group = No. 225; electronic total energy = -5.705 eV per atom
1.0
0.0000 2.9305 2.9305
2.9305 0.0000 2.9305
2.9305 2.9305 0.0000
Be Rh Sc
2 1 1
Cartesian
1.4653 1.4653 1.4653
4.3958 4.3958 4.3958
2.9305 2.9305 2.9305
0.0000 0.0000 0.0000

=====

ScBeRh2 PBE optimized geometry; calculated formation energy = -0.7175 eV/atom; space group = No. 123; electronic total energy = -6.908 eV per atom
1.0
-2.5862 -1.6891 -0.5694
0.1079 -1.4898 3.9300
-2.3835 3.2164 1.2847
Rh Be Sc
2 1 1
Cartesian
0.0000 0.0000 0.0000
-1.1378 0.8633 2.6074
-2.4849 0.7636 0.3577
-1.2392 -1.5895 1.6803

=====

ScBe2Rh PBE optimized geometry; calculated formation energy = -0.3861 eV/atom; space group = No. 8; electronic total energy = -5.670 eV per atom
1.0
-1.9661 3.1903 0.7596
-3.7582 -0.1606 0.6856
-1.0051 0.4300 4.8733
Be Rh Sc
2 1 1
Cartesian
-5.0208 2.5782 4.8534
-1.1527 0.5250 4.1468
-3.2284 1.6432 3.7806
-1.6974 0.8732 1.5703

=====

ScBeRh2 PBE optimized geometry; calculated formation energy = -0.5007 eV/atom; space group = No. 99; electronic total energy = -6.691 eV per atom
1.0
-0.6856 -2.7097 -1.3518
0.7707 -1.4962 2.6084
-5.6733 0.4659 1.9436
Rh Be Sc
2 1 1
Cartesian
-5.2871 0.4342 1.8113
-1.3810 -1.9861 1.1160
-4.5937 -1.7222 2.2166
-2.8364 0.2329 0.9717

=====

ScBeRh2 PBE optimized geometry; calculated formation energy = -0.7528 eV/atom; space group = No. 10; electronic total energy = -6.943 eV per atom
1.0
3.0345 0.0000 0.0000
0.0000 3.0318 0.0094
0.0000 2.9904 6.0257
Rh Be Sc
2 1 1
Cartesian
0.0000 2.9880 5.8449
0.0000 3.0136 3.1983
1.5173 4.5167 4.5263
1.5173 1.5056 1.5088

=====

ScBeRh3 PBE optimized geometry; calculated formation energy = -0.4996 eV/atom; space group = No. 221; electronic total energy = -6.922 eV per atom
1.0
-0.7071 4.0818 -0.4818
-2.2240 -0.7911 -3.4381
-3.4564 -0.3260 2.3108
Be Rh Sc
1 3 1
Cartesian
0.0000 0.0000 0.0000
-1.1120 -0.3955 -1.7191
-1.7282 -0.1630 1.1554
-0.3536 2.0409 -0.2409
-3.1938 1.4823 -0.8045

=====

ScBe17Rh PBE optimized geometry; calculated formation energy = -0.1796 eV/atom; space group = No. 160; electronic total energy = -4.234 eV per atom
1.0
5.5298 0.0065 0.6597
0.5864 5.4986 0.6597
0.0072 0.0065 5.5690
Be Rh Sc
17 1 1
Cartesian
6.0672 5.4610 4.1419
4.9806 1.8987 2.7117
3.4025 5.4610 6.5107
3.8830 0.0397 2.0980
1.3079 3.5679 4.1458
2.4106 4.7540 2.7117
5.7877 2.8110 6.5107
3.6854 0.9265 4.1458
5.5350 4.9820 6.2264
0.2102 1.6154 4.1020
0.4467 3.8574 2.0980
4.0492 1.6154 0.6894
0.6168 0.5552 0.6939
2.0312 3.8574 0.6894
3.9640 3.5679 1.7847
2.1094 1.8987 5.2641
1.6286 0.0397 4.1020
2.0225 1.8205 2.2752
4.0343 3.6312 4.5382

=====

ScBeRh4 PBE optimized geometry; calculated formation energy = -0.1693 eV/atom; space group = No. 216; electronic total energy = -6.747 eV per atom
1.0
0.0000 3.6110 3.6110
3.6110 0.0000 3.6110
3.6110 3.6110 0.0000
Sc Rh Be
1 4 1
Cartesian
5.4166 5.4166 5.4166
2.7051 4.5170 4.5170
2.7051 2.7051 2.7051
4.5170 4.5170 2.7051
4.5170 2.7051 4.5170
0.0000 0.0000 0.0000

=====

ScBe2Rh PBE optimized geometry; calculated formation energy = -0.2500 eV/atom; space group = No. 216; electronic total energy = -5.534 eV per atom
1.0
-0.3459 -4.1338 0.7697
1.1980 -2.7974 -2.9223
3.4647 -2.3303 0.6054
Be Sc Rh
2 1 1
Cartesian
1.0792 -2.3154 -0.3868
0.0000 0.0000 0.0000
3.2376 -6.9461 -1.1604
2.1584 -4.6307 -0.7736

=====

ScBe2Rh PBE optimized geometry; calculated formation energy = -0.4340 eV/atom; space group = No. 166; electronic total energy = -5.718 eV per atom
1.0
4.9416 -0.0217 -0.0140
3.4747 3.5138 -0.0140
3.4747 1.4417 3.2044
Be Sc Rh
2 1 1
Cartesian
11.3078 4.6918 3.0207
6.5288 2.7089 1.7441
8.9183 3.7004 2.3824
2.9728 1.2335 0.7941

=====

ScBeRh2 PBE optimized geometry; calculated formation energy = -0.4794 eV/atom; space group = No. 6; electronic total energy = -6.670 eV per atom
1.0
-0.0093 4.1228 -0.8127
-2.8889 0.0675 0.3752
-0.8258 0.9400 4.7783
Rh Be Sc
2 1 1
Cartesian
-3.1989 0.9667 4.9408
-0.7576 2.3013 0.8195
-3.3127 2.8579 3.6725
-2.0270 0.5155 2.6382

=====

ScBe8Rh3 PBE optimized geometry; calculated formation energy = -0.4814 eV/atom; space group = No. 156; electronic total energy = -5.331 eV per atom
1.0
-1.4290 -3.6372 -2.0562
4.2924 1.0344 -0.0712
1.0292 -3.8511 6.0970
Be Rh Sc
8 3 1
Cartesian
2.2030 -4.2658 3.6012
3.4144 -4.3735 5.3634
3.5856 -0.6539 1.0432
0.0955 -4.7737 3.6362
2.8689 -2.4783 0.0118
2.8933 -2.4237 2.2765
1.5014 -6.0516 2.5916
1.4326 -1.1728 1.0789
0.9327 -3.7809 1.2982
0.9516 -3.5607 5.6372
0.5489 -2.3448 -0.9754
0.5792 -2.1670 3.4308

=====

ScBeRh2 PBE optimized geometry; calculated formation energy = -0.1992 eV/atom; space group = No. 122; electronic total energy = -6.389 eV per atom
1.0
4.0144 0.0000 0.0000
0.0000 4.0144 0.0000
2.0072 2.0072 7.9203
Be Sc Rh
2 2 4
Cartesian
2.0072 2.0072 0.0000
2.0072 4.0144 3.9602
4.0144 2.0072 3.9602
0.0000 0.0000 0.0000
2.8071 1.0036 1.9801
5.0180 4.8143 5.9402
1.2073 3.0108 1.9801
3.0108 3.2145 5.9402

=====

Sc3BeRh PBE optimized geometry; calculated formation energy = 0.1886 eV/atom; space group = No. 221; electronic total energy = -5.826 eV per atom
1.0
4.9488 0.0000 0.0000
0.0000 4.9488 0.0000
0.0000 0.0000 4.9488
Rh Be Sc
1 1 3
Cartesian
0.0000 0.0000 0.0000
2.4744 2.4744 2.4744
0.0000 2.4744 0.0000
2.4744 0.0000 0.0000
0.0000 0.0000 2.4744

=====

ScBe5Rh6 PBE optimized geometry; calculated formation energy = -0.6251 eV/atom; space group = No. 10; electronic total energy = -6.381 eV per atom
1.0
3.9748 0.0016 -0.8304
-0.0025 5.7872 -0.0006
-0.7471 0.0003 6.3300
Be Rh Sc
5 6 1
Cartesian
-0.0013 2.8936 -0.0003
0.8334 2.8943 3.9463
2.3941 0.0012 1.5478
2.3918 2.8948 1.5527
0.8336 0.0008 3.9518
1.9867 1.5639 -0.4153
0.4285 1.4999 2.0564
0.4273 4.2881 2.0561
2.7967 4.2892 3.4425
1.2385 4.2252 5.9143
2.7979 1.5010 3.4428
0.0000 0.0000 0.0000